# 1
# Li2TlAg | the Alexandria database | PBEsol | relaxed
# E_form in meV/atom: -235
# Density of states at the Fermi level in states/eV per atom: 0.335
data_Li2TlAg
_space_group_name_H-M_alt 'I -4 m 2'
_space_group_IT_number 119
_space_group_name_Hall 'I -4 -2'
_cell_length_a 4.184
_cell_length_b 4.184
_cell_length_c 7.996
_cell_angle_alpha 90.00
_cell_angle_beta 90.00
_cell_angle_gamma 90.00
loop_
_atom_site_label
_atom_site_fract_x
_atom_site_fract_y
_atom_site_fract_z
Li1 0.000 0.000 0.000
Li2 0.000 0.500 0.250
Tl1 0.000 0.000 0.500
Ag1 0.000 0.500 0.750



# 2
# LiTlAg2 | the Alexandria database | PBEsol | relaxed
# E_form in meV/atom: -57
# Density of states at the Fermi level in states/eV per atom: 0.266
data_LiTlAg2
_space_group_name_H-M_alt 'P 4/m m m'
_space_group_IT_number 123
_space_group_name_Hall '-P 4 2'
_cell_length_a 3.372
_cell_length_b 3.372
_cell_length_c 6.410
_cell_angle_alpha 90.00
_cell_angle_beta 90.00
_cell_angle_gamma 90.00
loop_
_atom_site_label
_atom_site_fract_x
_atom_site_fract_y
_atom_site_fract_z
Li1 0.000 0.000 0.000
Tl1 0.000 0.000 0.500
Ag1 0.500 0.500 0.216



# 3
# Li2TlAg | the Alexandria database | PBEsol | relaxed
# E_form in meV/atom: -234
# Density of states at the Fermi level in states/eV per atom: 0.309
data_Li2TlAg
_space_group_name_H-M_alt 'F m -3 m'
_space_group_IT_number 225
_space_group_name_Hall '-F 4 2 3'
_cell_length_a 6.456
_cell_length_b 6.456
_cell_length_c 6.456
_cell_angle_alpha 90.00
_cell_angle_beta 90.00
_cell_angle_gamma 90.00
loop_
_atom_site_label
_atom_site_fract_x
_atom_site_fract_y
_atom_site_fract_z
Li1 0.250 0.250 0.250
Tl1 0.000 0.000 0.000
Ag1 0.000 0.000 0.500



# 4
# LiTlAg2 | the Alexandria database | PBEsol | relaxed
# E_form in meV/atom: -99
# Density of states at the Fermi level in states/eV per atom: 0.273
data_LiTlAg2
_space_group_name_H-M_alt 'P m m 2'
_space_group_IT_number 25
_space_group_name_Hall 'P 2 -2'
_cell_length_a 3.233
_cell_length_b 3.526
_cell_length_c 6.286
_cell_angle_alpha 90.00
_cell_angle_beta 90.00
_cell_angle_gamma 90.00
loop_
_atom_site_label
_atom_site_fract_x
_atom_site_fract_y
_atom_site_fract_z
Li1 0.000 0.000 0.000
Tl1 0.500 0.500 0.266
Ag1 0.000 0.000 0.549
Ag2 0.500 0.500 0.785



# 5
# LiTlAg | the Alexandria database | PBEsol | relaxed
# E_form in meV/atom: -111
# Density of states at the Fermi level in states/eV per atom: 0.440
# Offset from the most stable computed form in eV per formula unit: 0.17
data_LiTlAg
_space_group_name_H-M_alt 'P 3 m 1'
_space_group_IT_number 156
_space_group_name_Hall 'P 3 -2"'
_cell_length_a 4.6822
_cell_length_b 4.6822
_cell_length_c 3.0055
_cell_angle_alpha 90.00
_cell_angle_beta 90.00
_cell_angle_gamma 120.00
loop_
_atom_site_label
_atom_site_fract_x
_atom_site_fract_y
_atom_site_fract_z
Li1 0.0000 0.0000 0.0000
Tl1 0.3333 0.6667 0.6494
Ag1 0.6667 0.3333 0.3264



# 6
# LiTlAg2 | the Alexandria database | PBEsol | relaxed
# E_form in meV/atom: -77
# Density of states at the Fermi level in states/eV per atom: 0.322
data_LiTlAg2
_space_group_name_H-M_alt 'C 1 2/m 1'
_space_group_IT_number 12
_space_group_name_Hall '-C 2y'
_cell_length_a 9.891
_cell_length_b 3.232
_cell_length_c 4.720
_cell_angle_alpha 90.00
_cell_angle_beta 108.98
_cell_angle_gamma 90.00
loop_
_atom_site_label
_atom_site_fract_x
_atom_site_fract_y
_atom_site_fract_z
Li1 0.000 0.000 0.000
Tl1 0.000 0.500 0.500
Ag1 0.237 0.500 0.235